Below is a geometry-optimized Rb2CoNiF6 structure, with properties calculated at the PBE+U level.

## Properties
Energy   -4.44 eV/atom
Total magnetization   1.0 μB/cell
Fermi-level density of states   0.00 states/eV per cell

Cell lengths 5.8560, 5.8560, 5.8560 Å; angles 119.65, 119.65, 90.61 degrees
With the nearest neighbours (Å) after each atom.
Sites, in units of the cell vectors:
1 Rb 0.2500 0.7500 0.5000  12 F 2.93-2.94
2 Rb 0.7500 0.2500 0.5000  12 F 2.93-2.94
3 Co 0.0000 0.0000 0.0000  6 F 2.04-2.11
4 Ni 0.5000 0.5000 0.0000  6 F 2.05-2.08
5 F 0.2477 0.2477 0.0000  1 Co 2.04, 1 Ni 2.08
6 F 0.2532 0.2532 0.5064  1 Ni 2.05, 1 Co 2.11
7 F 0.2532 0.7468 0.0000  1 Ni 2.05, 1 Co 2.11
8 F 0.7468 0.2532 0.0000  1 Ni 2.05, 1 Co 2.11
9 F 0.7468 0.7468 0.4936  1 Ni 2.05, 1 Co 2.11
10 F 0.7523 0.7523 0.0000  1 Co 2.04, 1 Ni 2.08